Entry 1:
# Mg7Rh2Pb, relaxed, DFT GGA-PBE
# Volume, Å³/f.u.: 252
# Final energy, eV/f.u.: -30.5
# E_form, eV/atom: -0.10
data_Mg7Rh2Pb
_cell_length_a 8.083
_cell_length_b 12.506
_cell_length_c 4.978
_cell_angle_alpha 90.00
_cell_angle_beta 90.00
_cell_angle_gamma 90.00
_space_group_name_H-M_alt 'C m m m'
_space_group_IT_number 65
_space_group_name_Hall '-C 2 2'
loop_
_atom_site_label
_atom_site_type_symbol
_atom_site_fract_x
_atom_site_fract_y
_atom_site_fract_z
_atom_site_occupancy
Mg1 Mg 0.000 0.000 0.000 1
Mg2 Mg 0.000 0.200 0.500 1
Mg3 Mg 0.193 0.368 0.000 1
Rh1 Rh 0.000 0.203 0.000 1
Pb1 Pb 0.000 0.500 0.500 1

***

Entry 2:
# Mg3Rh3Pb, relaxed, DFT GGA-PBE
# Volume, Å³/f.u.: 126
# Final energy, eV/f.u.: -33.5
# E_form, eV/atom: -0.42
data_Mg3Rh3Pb
_cell_length_a 8.9863
_cell_length_b 8.9863
_cell_length_c 5.4022
_cell_angle_alpha 90.00
_cell_angle_beta 90.00
_cell_angle_gamma 120.00
_space_group_name_H-M_alt 'R -3 m'
_space_group_IT_number 166
_space_group_name_Hall '-R 3 2"'
loop_
_atom_site_label
_atom_site_type_symbol
_atom_site_fract_x
_atom_site_fract_y
_atom_site_fract_z
_atom_site_occupancy
Mg1 Mg 0.0000 0.5000 0.0000 1
Rh1 Rh 0.0000 0.5000 0.5000 1
Pb1 Pb 0.0000 0.0000 0.0000 1

***

Entry 3:
# Mg3Rh4Pb, relaxed, DFT GGA-PBE
# Volume, Å³/f.u.: 128
# Final energy, eV/f.u.: -41.5
# E_form, eV/atom: -0.45
data_Mg3Rh4Pb
_cell_length_a 4.4854
_cell_length_b 4.4854
_cell_length_c 22.0587
_cell_angle_alpha 90.00
_cell_angle_beta 90.00
_cell_angle_gamma 120.00
_space_group_name_H-M_alt 'R -3 m'
_space_group_IT_number 166
_space_group_name_Hall '-R 3 2"'
loop_
_atom_site_label
_atom_site_type_symbol
_atom_site_fract_x
_atom_site_fract_y
_atom_site_fract_z
_atom_site_occupancy
Mg1 Mg 0.0000 0.0000 0.0000 1
Mg2 Mg 0.0000 0.0000 0.2540 1
Rh1 Rh 0.0000 0.0000 0.1243 1
Rh2 Rh 0.0000 0.0000 0.3750 1
Pb1 Pb 0.0000 0.0000 0.5000 1

***

Entry 4:
# Mg2RhPb, relaxed, DFT GGA-PBE
# Volume, Å³/f.u.: 80
# Final energy, eV/f.u.: -15.5
# E_form, eV/atom: -0.31
data_Mg2RhPb
_cell_length_a 6.693
_cell_length_b 3.271
_cell_length_c 7.313
_cell_angle_alpha 90.00
_cell_angle_beta 90.00
_cell_angle_gamma 90.00
_space_group_name_H-M_alt 'P m m a'
_space_group_IT_number 51
loop_
_space_group_symop_operation_xyz
'x,y,z'
'-x,-y,-z'
'-x+1/2,-y,z'
'x+1/2,y,-z'
'x+1/2,-y,-z'
'-x+1/2,y,z'
'-x,y,-z'
'x,-y,z'
loop_
_atom_site_label
_atom_site_type_symbol
_atom_site_fract_x
_atom_site_fract_y
_atom_site_fract_z
_atom_site_occupancy
Mg1 Mg 0.024 0.000 0.192 1
Rh1 Rh 0.250 0.500 0.970 1
Pb1 Pb 0.250 0.500 0.530 1

***

Entry 5:
# MgRhPb2, relaxed, DFT GGA-PBE
# Volume, Å³/f.u.: 90
# Final energy, eV/f.u.: -16.5
# E_form, eV/atom: -0.04
data_MgRhPb2
_cell_length_a 3.787
_cell_length_b 4.532
_cell_length_c 5.581
_cell_angle_alpha 90.00
_cell_angle_beta 109.66
_cell_angle_gamma 90.00
_space_group_name_H-M_alt 'P 1 m 1'
_space_group_IT_number 6
loop_
_space_group_symop_operation_xyz
'x,y,z'
'x,-y,z'
loop_
_atom_site_label
_atom_site_type_symbol
_atom_site_fract_x
_atom_site_fract_y
_atom_site_fract_z
_atom_site_occupancy
Mg1 Mg 0.000 0.000 0.000 1
Rh1 Rh 0.864 0.500 0.727 1
Pb1 Pb 0.281 0.000 0.562 1
Pb2 Pb 0.577 0.500 0.154 1

***

Entry 6:
# MgRhPb2, relaxed, DFT GGA-PBE
# Volume, Å³/f.u.: 88
# Final energy, eV/f.u.: -16.1
# E_form, eV/atom: 0.07
data_MgRhPb2
_cell_length_a 4.309
_cell_length_b 4.309
_cell_length_c 9.498
_cell_angle_alpha 90.00
_cell_angle_beta 90.00
_cell_angle_gamma 90.00
_space_group_name_H-M_alt 'I -4 m 2'
_space_group_IT_number 119
_space_group_name_Hall 'I -4 -2'
loop_
_atom_site_label
_atom_site_type_symbol
_atom_site_fract_x
_atom_site_fract_y
_atom_site_fract_z
_atom_site_occupancy
Mg1 Mg 0.000 0.000 0.000 1
Rh1 Rh 0.000 0.500 0.250 1
Pb1 Pb 0.000 0.000 0.500 1
Pb2 Pb 0.000 0.500 0.750 1

***

Entry 7:
# Mg2Rh4Pb, relaxed, DFT GGA-PBE
# Volume, Å³/f.u.: 122
# Final energy, eV/f.u.: -36.4
# E_form, eV/atom: -0.02
data_Mg2Rh4Pb
_cell_length_a 6.315
_cell_length_b 6.315
_cell_length_c 6.117
_cell_angle_alpha 90.00
_cell_angle_beta 90.00
_cell_angle_gamma 90.00
_space_group_name_H-M_alt 'I 4/m m m'
_space_group_IT_number 139
_space_group_name_Hall '-I 4 2'
loop_
_atom_site_label
_atom_site_type_symbol
_atom_site_fract_x
_atom_site_fract_y
_atom_site_fract_z
_atom_site_occupancy
Mg1 Mg 0.000 0.500 0.000 1
Rh1 Rh 0.250 0.250 0.250 1
Pb1 Pb 0.000 0.000 0.000 1

***

Entry 8:
# MgRhPb2, relaxed, DFT GGA-PBE
# Volume, Å³/f.u.: 90
# Final energy, eV/f.u.: -15.8
# E_form, eV/atom: 0.15
data_MgRhPb2
_cell_length_a 7.117
_cell_length_b 7.117
_cell_length_c 7.117
_cell_angle_alpha 90.00
_cell_angle_beta 90.00
_cell_angle_gamma 90.00
_space_group_name_H-M_alt 'F -4 3 m'
_space_group_IT_number 216
_space_group_name_Hall 'F -4 2 3'
loop_
_atom_site_label
_atom_site_type_symbol
_atom_site_fract_x
_atom_site_fract_y
_atom_site_fract_z
_atom_site_occupancy
Mg1 Mg 0.000 0.000 0.000 1
Rh1 Rh 0.250 0.250 0.250 1
Pb1 Pb 0.000 0.000 0.500 1
Pb2 Pb 0.250 0.250 0.750 1

***

Entry 9:
# MgRhPb2, relaxed, DFT GGA-PBE
# Volume, Å³/f.u.: 108
# Final energy, eV/f.u.: -16.3
# E_form, eV/atom: 0.01
data_MgRhPb2
_cell_length_a 9.125
_cell_length_b 9.125
_cell_length_c 5.197
_cell_angle_alpha 90.00
_cell_angle_beta 90.00
_cell_angle_gamma 90.00
_space_group_name_H-M_alt 'I -4 2 d'
_space_group_IT_number 122
_space_group_name_Hall 'I -4 2bw'
loop_
_atom_site_label
_atom_site_type_symbol
_atom_site_fract_x
_atom_site_fract_y
_atom_site_fract_z
_atom_site_occupancy
Mg1 Mg 0.000 0.000 0.000 1
Rh1 Rh 0.000 0.000 0.500 1
Pb1 Pb 0.143 0.250 0.625 1

***

Entry 10:
# Mg2RhPb2, relaxed, DFT GGA-PBE
# E above lowest polymorph, eV per formula unit: 0.04
# Volume, Å³/f.u.: 116
# Final energy, eV/f.u.: -17.6
# E_form, eV/atom: 0.06
data_Mg2RhPb2
_cell_length_a 6.886
_cell_length_b 6.886
_cell_length_c 4.904
_cell_angle_alpha 90.00
_cell_angle_beta 90.00
_cell_angle_gamma 90.00
_space_group_name_H-M_alt 'P 4/m b m'
_space_group_IT_number 127
_space_group_name_Hall '-P 4 2ab'
loop_
_atom_site_label
_atom_site_type_symbol
_atom_site_fract_x
_atom_site_fract_y
_atom_site_fract_z
_atom_site_occupancy
Mg1 Mg 0.156 0.344 0.000 1
Rh1 Rh 0.000 0.000 0.000 1
Pb1 Pb 0.174 0.674 0.500 1

***

Entry 11:
# Mg6RhPb2, relaxed, DFT GGA-PBE
# Volume, Å³/f.u.: 202
# Final energy, eV/f.u.: -26.3
# E_form, eV/atom: -0.21
data_Mg6RhPb2
_cell_length_a 8.0736
_cell_length_b 8.0736
_cell_length_c 3.5794
_cell_angle_alpha 90.00
_cell_angle_beta 90.00
_cell_angle_gamma 120.00
_space_group_name_H-M_alt 'P -6 2 m'
_space_group_IT_number 189
_space_group_name_Hall 'P -6 -2'
loop_
_atom_site_label
_atom_site_type_symbol
_atom_site_fract_x
_atom_site_fract_y
_atom_site_fract_z
_atom_site_occupancy
Mg1 Mg 0.0000 0.2451 0.0000 1
Mg2 Mg 0.0000 0.6458 0.5000 1
Rh1 Rh 0.0000 0.0000 0.5000 1
Pb1 Pb 0.3333 0.6667 0.0000 1

***

Entry 12:
# MgRhPb2, relaxed, DFT GGA-PBE
# Volume, Å³/f.u.: 102
# Final energy, eV/f.u.: -16.7
# E_form, eV/atom: -0.08
data_MgRhPb2
_cell_length_a 9.543
_cell_length_b 3.267
_cell_length_c 6.965
_cell_angle_alpha 90.00
_cell_angle_beta 110.57
_cell_angle_gamma 90.00
_space_group_name_H-M_alt 'C 1 m 1'
_space_group_IT_number 8
loop_
_space_group_symop_operation_xyz
'x,y,z'
'x,-y,z'
'x+1/2,y+1/2,z'
'x+1/2,-y+1/2,z'
loop_
_atom_site_label
_atom_site_type_symbol
_atom_site_fract_x
_atom_site_fract_y
_atom_site_fract_z
_atom_site_occupancy
Mg1 Mg 0.000 0.000 0.000 1
Rh1 Rh 0.223 0.500 0.996 1
Pb1 Pb 0.169 0.000 0.652 1
Pb2 Pb 0.348 0.000 0.341 1